No. 1
! TaTlCo2Tc | Alexandria | meta-GGA SCAN | single point on PBEsol structure; values from VASP
! Density in Mg/m³: 10.714
! SG: No. 123
! DFT total energy in eV per atom: -40.251
! Fermi-level density of states in states/eV per cell: 2.59
&SYSTEM
  ibrav = 0, nat = 5, ntyp = 4
/
ATOMIC_SPECIES
Ta 180.95 Ta.upf
Tl 204.38 Tl.upf
Co 58.93 Co.upf
Tc 98.00 Tc.upf
ATOMIC_POSITIONS angstrom
Ta 0.000 0.000 0.000
Tl 2.222 2.222 2.359
Co 0.000 2.222 0.000
Co 2.222 0.000 0.000
Tc 0.000 0.000 2.359
CELL_PARAMETERS angstrom
4.444 0.000 0.000
0.000 4.444 0.000
0.000 0.000 4.718

No. 2
! TaCoTe3 | Alexandria | meta-GGA SCAN | single point on PBEsol structure; values from VASP
! ΔE to the lowest computed polymorph in kJ/mol of atoms: 0.0
! Density in Mg/m³: 6.875
! SG: No. 221
! Fermi-level density of states in states/eV per cell: 5.69
! ΔE_f (raw) in eV per atom: 0.8835
&SYSTEM
  ibrav = 0, nat = 5, ntyp = 3
/
ATOMIC_SPECIES
Ta 180.95 Ta.upf
Co 58.93 Co.upf
Te 127.60 Te.upf
ATOMIC_POSITIONS angstrom
Ta 0.000 0.000 0.000
Co 2.659 2.659 2.659
Te 0.000 0.000 2.659
Te 0.000 2.659 0.000
Te 2.659 0.000 0.000
CELL_PARAMETERS angstrom
5.318 0.000 0.000
0.000 5.318 0.000
0.000 0.000 5.318

Among the records above, which one has the lowest Fermi-level density of states?
TaTlCo2Tc

Among the records above, which one has the lowest Fermi-level density of states?
TaTlCo2Tc

Among the records above, which one has the highest Fermi-level density of states?
TaCoTe3

Among the records above, which one has the lowest density?
TaCoTe3